A geometry-optimized Rb2TmVO4 structure. Source: the Alexandria database, functional PBE+U.

## Properties
* E: -6.15 eV/atom
* calculated volume: 1634.06 Å³ per cell

```
data_Rb2TmVO4
_cell_length_a 5.7482
_cell_length_b 12.9894
_cell_length_c 21.8852
_cell_angle_alpha 90.00
_cell_angle_beta 90.00
_cell_angle_gamma 90.00
_space_group_name_H-M_alt 'F d d d'
_space_group_IT_number 70
loop_
_space_group_symop_operation_xyz
'x,y,z'
'-x,-y,-z'
'-x+1/4,-y+1/4,z'
'x+1/4,y+1/4,-z'
'x,-y+1/4,-z+1/4'
'-x,y+1/4,z+1/4'
'-x+1/4,y,-z+1/4'
'x+1/4,-y,z+1/4'
'x,y+1/2,z+1/2'
'-x,-y+1/2,-z+1/2'
'-x+1/4,-y+3/4,z+1/2'
'x+1/4,y+3/4,-z+1/2'
'x,-y+3/4,-z+3/4'
'-x,y+3/4,z+3/4'
'-x+1/4,y+1/2,-z+3/4'
'x+1/4,-y+1/2,z+3/4'
'x+1/2,y,z+1/2'
'-x+1/2,-y,-z+1/2'
'-x+3/4,-y+1/4,z+1/2'
'x+3/4,y+1/4,-z+1/2'
'x+1/2,-y+1/4,-z+3/4'
'-x+1/2,y+1/4,z+3/4'
'-x+3/4,y,-z+3/4'
'x+3/4,-y,z+3/4'
'x+1/2,y+1/2,z'
'-x+1/2,-y+1/2,-z'
'-x+3/4,-y+3/4,z'
'x+3/4,y+3/4,-z'
'x+1/2,-y+3/4,-z+1/4'
'-x+1/2,y+3/4,z+1/4'
'-x+3/4,y+1/2,-z+1/4'
'x+3/4,-y+1/2,z+1/4'
loop_
_atom_site_label
_atom_site_type_symbol
_atom_site_fract_x
_atom_site_fract_y
_atom_site_fract_z
Rb1 Rb 0.1250 0.1250 0.3137
Tm1 Tm 0.1250 0.1250 0.1250
V1 V 0.1250 0.1250 0.6250
O1 O 0.1057 0.2856 0.8370
```